# Ho6Sn2Te3Se PBE relaxed
# magnetization: 0.0 μB/cell
# volume: 685.2 Å³/cell
# N(E_F): 8.547 states/eV/cell
# calculated total energy: -0.3841 Ry per atom
data_Ho6Sn2Te3Se
_space_group_name_H-M_alt 'C 1 2/m 1'
_space_group_IT_number 12
_cell_length_a 18.861
_cell_length_b 4.315
_cell_length_c 8.669
_cell_angle_alpha 90.00
_cell_angle_beta 103.80
_cell_angle_gamma 90.00
loop_
_space_group_symop_operation_xyz
'x,y,z'
'-x,-y,-z'
'-x,y,-z'
'x,-y,z'
'x+1/2,y+1/2,z'
'-x+1/2,-y+1/2,-z'
'-x+1/2,y+1/2,-z'
'x+1/2,-y+1/2,z'
loop_
_atom_site_label
_atom_site_type_symbol
_atom_site_fract_x
_atom_site_fract_y
_atom_site_fract_z
Ho1 Ho 0.004 0.000 0.234
Ho2 Ho 0.160 0.500 0.088
Ho3 Ho 0.169 0.500 0.574
Sn1 Sn 0.166 0.000 0.330
Te1 Te 0.000 0.500 0.500
Te2 Te 0.166 0.000 0.834
Se1 Se 0.000 0.500 0.000

---

# HoTlSn2Se4 PBE relaxed
# magnetization: 0.0 μB/cell
# volume: 226.0 Å³/cell
# N(E_F): 0.227 states/eV/cell
# calculated total energy: -0.3251 Ry per atom
data_HoTlSn2Se4
_space_group_name_H-M_alt 'P 1 2/m 1'
_space_group_IT_number 10
_cell_length_a 7.388
_cell_length_b 4.262
_cell_length_c 7.559
_cell_angle_alpha 90.00
_cell_angle_beta 108.31
_cell_angle_gamma 90.00
loop_
_space_group_symop_operation_xyz
'x,y,z'
'-x,-y,-z'
'-x,y,-z'
'x,-y,z'
loop_
_atom_site_label
_atom_site_type_symbol
_atom_site_fract_x
_atom_site_fract_y
_atom_site_fract_z
Ho1 Ho 0.000 0.000 0.000
Tl1 Tl 0.000 0.500 0.500
Sn1 Sn 0.500 0.000 0.500
Sn2 Sn 0.500 0.500 0.000
Se1 Se 0.240 0.500 0.226
Se2 Se 0.254 0.000 0.777

---

# HoTlSnSe3 PBE relaxed
# magnetization: 0.0 μB/cell
# volume: 802.7 Å³/cell
# calculated total energy: -0.3325 Ry per atom
data_HoTlSnSe3
_space_group_name_H-M_alt 'C m c m'
_space_group_IT_number 63
_space_group_name_Hall '-C 2c 2'
_cell_length_a 4.128
_cell_length_b 17.273
_cell_length_c 11.259
_cell_angle_alpha 90.00
_cell_angle_beta 90.00
_cell_angle_gamma 90.00
loop_
_atom_site_label
_atom_site_type_symbol
_atom_site_fract_x
_atom_site_fract_y
_atom_site_fract_z
Ho1 Ho 0.000 0.000 0.000
Tl1 Tl 0.000 0.299 0.250
Sn1 Sn 0.000 0.369 0.750
Se1 Se 0.000 0.024 0.250
Se2 Se 0.000 0.386 0.014

---

# HoTmSnSe PBE relaxed
# magnetization: 0.0 μB/cell
# volume: 106.3 Å³/cell
# N(E_F): 0.709 states/eV/cell
# calculated total energy: -0.3914 Ry per atom
data_HoTmSnSe
_space_group_name_H-M_alt 'P 4/m m m'
_space_group_IT_number 123
_space_group_name_Hall '-P 4 2'
_cell_length_a 4.227
_cell_length_b 4.227
_cell_length_c 5.949
_cell_angle_alpha 90.00
_cell_angle_beta 90.00
_cell_angle_gamma 90.00
loop_
_atom_site_label
_atom_site_type_symbol
_atom_site_fract_x
_atom_site_fract_y
_atom_site_fract_z
Ho1 Ho 0.000 0.000 0.000
Tm1 Tm 0.500 0.500 0.500
Sn1 Sn 0.500 0.500 0.000
Se1 Se 0.000 0.000 0.500

---

# SrHoSe2 PBE relaxed
# magnetization: 0.0 μB/cell
# volume: 325.7 Å³/cell
# N(E_F): 7.004 states/eV/cell
# calculated total energy: -0.3754 Ry per atom
data_SrHoSe2
_space_group_name_H-M_alt 'R 3 m'
_space_group_IT_number 160
_space_group_name_Hall 'R 3 -2"'
_cell_length_a 4.1256
_cell_length_b 4.1256
_cell_length_c 22.0975
_cell_angle_alpha 90.00
_cell_angle_beta 90.00
_cell_angle_gamma 120.00
loop_
_atom_site_label
_atom_site_type_symbol
_atom_site_fract_x
_atom_site_fract_y
_atom_site_fract_z
Sr1 Sr 0.0000 0.0000 0.0000
Ho1 Ho 0.0000 0.0000 0.1741
Se1 Se 0.0000 0.0000 0.5794
Se2 Se 0.0000 0.0000 0.7628

---

# Sr2HoSe3 PBE relaxed
# magnetization: 0.0 μB/cell
# volume: 2689.8 Å³/cell
# N(E_F): 21.892 states/eV/cell
# calculated total energy: -0.3666 Ry per atom
data_Sr2HoSe3
_space_group_name_H-M_alt 'F d d d'
_space_group_IT_number 70
_cell_length_a 8.616
_cell_length_b 12.155
_cell_length_c 25.683
_cell_angle_alpha 90.00
_cell_angle_beta 90.00
_cell_angle_gamma 90.00
loop_
_space_group_symop_operation_xyz
'x,y,z'
'-x,-y,-z'
'-x+1/4,-y+1/4,z'
'x+1/4,y+1/4,-z'
'x,-y+1/4,-z+1/4'
'-x,y+1/4,z+1/4'
'-x+1/4,y,-z+1/4'
'x+1/4,-y,z+1/4'
'x,y+1/2,z+1/2'
'-x,-y+1/2,-z+1/2'
'-x+1/4,-y+3/4,z+1/2'
'x+1/4,y+3/4,-z+1/2'
'x,-y+3/4,-z+3/4'
'-x,y+3/4,z+3/4'
'-x+1/4,y+1/2,-z+3/4'
'x+1/4,-y+1/2,z+3/4'
'x+1/2,y,z+1/2'
'-x+1/2,-y,-z+1/2'
'-x+3/4,-y+1/4,z+1/2'
'x+3/4,y+1/4,-z+1/2'
'x+1/2,-y+1/4,-z+3/4'
'-x+1/2,y+1/4,z+3/4'
'-x+3/4,y,-z+3/4'
'x+3/4,-y,z+3/4'
'x+1/2,y+1/2,z'
'-x+1/2,-y+1/2,-z'
'-x+3/4,-y+3/4,z'
'x+3/4,y+3/4,-z'
'x+1/2,-y+3/4,-z+1/4'
'-x+1/2,y+3/4,z+1/4'
'-x+3/4,y+1/2,-z+1/4'
'x+3/4,-y+1/2,z+1/4'
loop_
_atom_site_label
_atom_site_type_symbol
_atom_site_fract_x
_atom_site_fract_y
_atom_site_fract_z
Sr1 Sr 0.125 0.125 0.043
Sr2 Sr 0.125 0.125 0.373
Ho1 Ho 0.125 0.125 0.542
Se1 Se 0.106 0.375 0.875
Se2 Se 0.116 0.366 0.712

---

# SrHo4Se6 PBE relaxed
# magnetization: 0.0 μB/cell
# volume: 1154.3 Å³/cell
# N(E_F): 13.526 states/eV/cell
# calculated total energy: -0.4107 Ry per atom
data_SrHo4Se6
_space_group_name_H-M_alt 'C m c m'
_space_group_IT_number 63
_space_group_name_Hall '-C 2c 2'
_cell_length_a 4.094
_cell_length_b 13.414
_cell_length_c 21.021
_cell_angle_alpha 90.00
_cell_angle_beta 90.00
_cell_angle_gamma 90.00
loop_
_atom_site_label
_atom_site_type_symbol
_atom_site_fract_x
_atom_site_fract_y
_atom_site_fract_z
Sr1 Sr 0.000 0.159 0.250
Ho1 Ho 0.000 0.093 0.628
Ho2 Ho 0.000 0.362 0.539
Se1 Se 0.000 0.000 0.000
Se2 Se 0.000 0.173 0.750
Se3 Se 0.000 0.269 0.087
Se4 Se 0.000 0.456 0.660

---

# SrHoSe2 PBE relaxed
# magnetization: 0.0 μB/cell
# volume: 321.0 Å³/cell
# N(E_F): 5.056 states/eV/cell
# calculated total energy: -0.3804 Ry per atom
data_SrHoSe2
_space_group_name_H-M_alt 'R -3 m'
_space_group_IT_number 166
_space_group_name_Hall '-R 3 2"'
_cell_length_a 4.1890
_cell_length_b 4.1890
_cell_length_c 21.1256
_cell_angle_alpha 90.00
_cell_angle_beta 90.00
_cell_angle_gamma 120.00
loop_
_atom_site_label
_atom_site_type_symbol
_atom_site_fract_x
_atom_site_fract_y
_atom_site_fract_z
Sr1 Sr 0.0000 0.0000 0.0000
Ho1 Ho 0.0000 0.0000 0.5000
Se1 Se 0.0000 0.0000 0.2429

---

# SrHo5Se6 PBE relaxed
# magnetization: 0.0 μB/cell
# volume: 588.3 Å³/cell
# N(E_F): 10.541 states/eV/cell
# calculated total energy: -0.4073 Ry per atom
data_SrHo5Se6
_space_group_name_H-M_alt 'C 1 2/m 1'
_space_group_IT_number 12
_cell_length_a 7.092
_cell_length_b 12.295
_cell_length_c 7.150
_cell_angle_alpha 90.00
_cell_angle_beta 109.34
_cell_angle_gamma 90.00
loop_
_space_group_symop_operation_xyz
'x,y,z'
'-x,-y,-z'
'-x,y,-z'
'x,-y,z'
'x+1/2,y+1/2,z'
'-x+1/2,-y+1/2,-z'
'-x+1/2,y+1/2,-z'
'x+1/2,-y+1/2,z'
loop_
_atom_site_label
_atom_site_type_symbol
_atom_site_fract_x
_atom_site_fract_y
_atom_site_fract_z
Sr1 Sr 0.000 0.000 0.000
Ho1 Ho 0.000 0.160 0.500
Ho2 Ho 0.000 0.333 0.000
Ho3 Ho 0.000 0.500 0.500
Se1 Se 0.240 0.500 0.251
Se2 Se 0.242 0.328 0.741

---

# SrHo2Se4 PBE relaxed
# magnetization: 0.0 μB/cell
# volume: 785.2 Å³/cell
# calculated total energy: -0.4028 Ry per atom
data_SrHo2Se4
_space_group_name_H-M_alt 'C m c m'
_space_group_IT_number 63
_space_group_name_Hall '-C 2c 2'
_cell_length_a 4.126
_cell_length_b 13.526
_cell_length_c 14.072
_cell_angle_alpha 90.00
_cell_angle_beta 90.00
_cell_angle_gamma 90.00
loop_
_atom_site_label
_atom_site_type_symbol
_atom_site_fract_x
_atom_site_fract_y
_atom_site_fract_z
Sr1 Sr 0.000 0.112 0.250
Ho1 Ho 0.000 0.366 0.069
Se1 Se 0.000 0.000 0.000
Se2 Se 0.000 0.270 0.615
Se3 Se 0.000 0.446 0.250

---

# SrHo2Se4 PBE relaxed
# magnetization: 0.0 μB/cell
# volume: 782.2 Å³/cell
# calculated total energy: -0.4038 Ry per atom
data_SrHo2Se4
_space_group_name_H-M_alt 'P n m a'
_space_group_IT_number 62
_cell_length_a 12.622
_cell_length_b 4.140
_cell_length_c 14.970
_cell_angle_alpha 90.00
_cell_angle_beta 90.00
_cell_angle_gamma 90.00
loop_
_space_group_symop_operation_xyz
'x,y,z'
'-x,-y,-z'
'-x+1/2,-y,z+1/2'
'x+1/2,y,-z+1/2'
'x+1/2,-y+1/2,-z+1/2'
'-x+1/2,y+1/2,z+1/2'
'-x,y+1/2,-z'
'x,-y+1/2,z'
loop_
_atom_site_label
_atom_site_type_symbol
_atom_site_fract_x
_atom_site_fract_y
_atom_site_fract_z
Sr1 Sr 0.240 0.250 0.166
Ho1 Ho 0.062 0.250 0.389
Ho2 Ho 0.083 0.250 0.902
Se1 Se 0.028 0.750 0.784
Se2 Se 0.090 0.250 0.577
Se3 Se 0.129 0.750 0.030
Se4 Se 0.205 0.750 0.328

---

# SrHo3Se4 PBE relaxed
# magnetization: 0.0 μB/cell
# volume: 400.5 Å³/cell
# N(E_F): 5.850 states/eV/cell
# calculated total energy: -0.3999 Ry per atom
data_SrHo3Se4
_space_group_name_H-M_alt 'C m m m'
_space_group_IT_number 65
_space_group_name_Hall '-C 2 2'
_cell_length_a 8.322
_cell_length_b 11.689
_cell_length_c 4.117
_cell_angle_alpha 90.00
_cell_angle_beta 90.00
_cell_angle_gamma 90.00
loop_
_atom_site_label
_atom_site_type_symbol
_atom_site_fract_x
_atom_site_fract_y
_atom_site_fract_z
Sr1 Sr 0.000 0.000 0.000
Ho1 Ho 0.000 0.500 0.000
Ho2 Ho 0.250 0.250 0.500
Se1 Se 0.000 0.256 0.000
Se2 Se 0.237 0.500 0.500

---

# Sr2TbHoSe4 PBE relaxed
# magnetization: 0.0 μB/cell
# volume: 215.7 Å³/cell
# N(E_F): 3.593 states/eV/cell
# calculated total energy: -0.3817 Ry per atom
data_Sr2TbHoSe4
_space_group_name_H-M_alt 'P 1 2/m 1'
_space_group_IT_number 10
_cell_length_a 7.274
_cell_length_b 4.205
_cell_length_c 7.459
_cell_angle_alpha 90.00
_cell_angle_beta 109.03
_cell_angle_gamma 90.00
loop_
_space_group_symop_operation_xyz
'x,y,z'
'-x,-y,-z'
'-x,y,-z'
'x,-y,z'
loop_
_atom_site_label
_atom_site_type_symbol
_atom_site_fract_x
_atom_site_fract_y
_atom_site_fract_z
Sr1 Sr 0.000 0.000 0.000
Sr2 Sr 0.500 0.500 0.000
Tb1 Tb 0.000 0.500 0.500
Ho1 Ho 0.500 0.000 0.500
Se1 Se 0.246 0.000 0.731
Se2 Se 0.258 0.500 0.270

---

# Sr3Tb2HoSe6 PBE relaxed
# magnetization: 0.0 μB/cell
# volume: 648.5 Å³/cell
# N(E_F): 9.032 states/eV/cell
# calculated total energy: -0.3822 Ry per atom
data_Sr3Tb2HoSe6
_space_group_name_H-M_alt 'C 1 2/m 1'
_space_group_IT_number 12
_cell_length_a 7.291
_cell_length_b 12.613
_cell_length_c 7.460
_cell_angle_alpha 90.00
_cell_angle_beta 109.03
_cell_angle_gamma 90.00
loop_
_space_group_symop_operation_xyz
'x,y,z'
'-x,-y,-z'
'-x,y,-z'
'x,-y,z'
'x+1/2,y+1/2,z'
'-x+1/2,-y+1/2,-z'
'-x+1/2,y+1/2,-z'
'x+1/2,-y+1/2,z'
loop_
_atom_site_label
_atom_site_type_symbol
_atom_site_fract_x
_atom_site_fract_y
_atom_site_fract_z
Sr1 Sr 0.000 0.000 0.000
Sr2 Sr 0.000 0.333 0.000
Tb1 Tb 0.000 0.166 0.500
Ho1 Ho 0.000 0.500 0.500
Se1 Se 0.242 0.334 0.730
Se2 Se 0.246 0.000 0.731

---

# SrTb2HoSe4 PBE relaxed
# magnetization: 0.0 μB/cell
# volume: 203.3 Å³/cell
# N(E_F): 2.953 states/eV/cell
# calculated total energy: -0.4027 Ry per atom
data_SrTb2HoSe4
_space_group_name_H-M_alt 'P 1 2/m 1'
_space_group_IT_number 10
_cell_length_a 7.209
_cell_length_b 4.135
_cell_length_c 7.214
_cell_angle_alpha 90.00
_cell_angle_beta 109.06
_cell_angle_gamma 90.00
loop_
_space_group_symop_operation_xyz
'x,y,z'
'-x,-y,-z'
'-x,y,-z'
'x,-y,z'
loop_
_atom_site_label
_atom_site_type_symbol
_atom_site_fract_x
_atom_site_fract_y
_atom_site_fract_z
Sr1 Sr 0.000 0.000 0.000
Tb1 Tb 0.000 0.500 0.500
Tb2 Tb 0.500 0.000 0.500
Ho1 Ho 0.500 0.500 0.000
Se1 Se 0.257 0.000 0.748
Se2 Se 0.262 0.500 0.259

---

# SrTb4HoSe8 PBE relaxed
# magnetization: 0.0 μB/cell
# volume: 1325.2 Å³/cell
# N(E_F): 11.497 states/eV/cell
# calculated total energy: -0.4085 Ry per atom
data_SrTb4HoSe8
_space_group_name_H-M_alt 'R 3 m'
_space_group_IT_number 160
_space_group_name_Hall 'R 3 -2"'
_cell_length_a 8.5559
_cell_length_b 8.5559
_cell_length_c 20.9035
_cell_angle_alpha 90.00
_cell_angle_beta 90.00
_cell_angle_gamma 120.00
loop_
_atom_site_label
_atom_site_type_symbol
_atom_site_fract_x
_atom_site_fract_y
_atom_site_fract_z
Sr1 Sr 0.0000 0.0000 0.0000
Tb1 Tb 0.0000 0.0000 0.2495
Tb2 Tb 0.1691 0.3382 0.4575
Ho1 Ho 0.0000 0.0000 0.6267
Se1 Se 0.0000 0.0000 0.3822
Se2 Se 0.0000 0.0000 0.8615
Se3 Se 0.0368 0.5184 0.3785
Se4 Se 0.1776 0.3553 0.2063

---

# SrHoTeSe PBE relaxed
# magnetization: 0.0 μB/cell
# volume: 357.5 Å³/cell
# N(E_F): 8.901 states/eV/cell
# calculated total energy: -0.3549 Ry per atom
data_SrHoTeSe
_space_group_name_H-M_alt 'R 3 m'
_space_group_IT_number 160
_space_group_name_Hall 'R 3 -2"'
_cell_length_a 4.2316
_cell_length_b 4.2316
_cell_length_c 23.0507
_cell_angle_alpha 90.00
_cell_angle_beta 90.00
_cell_angle_gamma 120.00
loop_
_atom_site_label
_atom_site_type_symbol
_atom_site_fract_x
_atom_site_fract_y
_atom_site_fract_z
Sr1 Sr 0.0000 0.0000 0.0000
Ho1 Ho 0.0000 0.0000 0.1826
Te1 Te 0.0000 0.0000 0.4316
Se1 Se 0.0000 0.0000 0.5876

---

# Sr2HoThSe4 PBE relaxed
# magnetization: 0.0 μB/cell
# volume: 220.0 Å³/cell
# N(E_F): 4.509 states/eV/cell
# calculated total energy: -0.3995 Ry per atom
data_Sr2HoThSe4
_space_group_name_H-M_alt 'P 1 2/m 1'
_space_group_IT_number 10
_cell_length_a 7.321
_cell_length_b 4.201
_cell_length_c 7.548
_cell_angle_alpha 90.00
_cell_angle_beta 108.59
_cell_angle_gamma 90.00
loop_
_space_group_symop_operation_xyz
'x,y,z'
'-x,-y,-z'
'-x,y,-z'
'x,-y,z'
loop_
_atom_site_label
_atom_site_type_symbol
_atom_site_fract_x
_atom_site_fract_y
_atom_site_fract_z
Sr1 Sr 0.000 0.000 0.000
Sr2 Sr 0.500 0.500 0.000
Ho1 Ho 0.000 0.500 0.500
Th1 Th 0.500 0.000 0.500
Se1 Se 0.238 0.000 0.732
Se2 Se 0.247 0.500 0.261

---

# Sr2HoTlSe5 PBE relaxed
# magnetization: 0.0 μB/cell
# volume: 1025.7 Å³/cell
# calculated total energy: -0.3353 Ry per atom
data_Sr2HoTlSe5
_space_group_name_H-M_alt 'C m c 21'
_space_group_IT_number 36
_cell_length_a 4.210
_cell_length_b 18.549
_cell_length_c 13.133
_cell_angle_alpha 90.00
_cell_angle_beta 90.00
_cell_angle_gamma 90.00
loop_
_space_group_symop_operation_xyz
'x,y,z'
'-x,-y,z+1/2'
'-x,y,z'
'x,-y,z+1/2'
'x+1/2,y+1/2,z'
'-x+1/2,-y+1/2,z+1/2'
'-x+1/2,y+1/2,z'
'x+1/2,-y+1/2,z+1/2'
loop_
_atom_site_label
_atom_site_type_symbol
_atom_site_fract_x
_atom_site_fract_y
_atom_site_fract_z
Sr1 Sr 0.000 0.119 0.000
Sr2 Sr 0.000 0.138 0.633
Ho1 Ho 0.000 0.211 0.335
Tl1 Tl 0.000 0.459 0.764
Se1 Se 0.000 0.052 0.389
Se2 Se 0.000 0.288 0.981
Se3 Se 0.000 0.312 0.684
Se4 Se 0.000 0.360 0.320
Se5 Se 0.000 0.492 0.079

---

# SrHo4TmSe8 PBE relaxed
# magnetization: 0.0 μB/cell
# volume: 1295.6 Å³/cell
# N(E_F): 12.081 states/eV/cell
# calculated total energy: -0.4057 Ry per atom
data_SrHo4TmSe8
_space_group_name_H-M_alt 'R 3 m'
_space_group_IT_number 160
_space_group_name_Hall 'R 3 -2"'
_cell_length_a 8.4934
_cell_length_b 8.4934
_cell_length_c 20.7382
_cell_angle_alpha 90.00
_cell_angle_beta 90.00
_cell_angle_gamma 120.00
loop_
_atom_site_label
_atom_site_type_symbol
_atom_site_fract_x
_atom_site_fract_y
_atom_site_fract_z
Sr1 Sr 0.0000 0.0000 0.0000
Ho1 Ho 0.0000 0.0000 0.7508
Ho2 Ho 0.0052 0.5026 0.8763
Tm1 Tm 0.0000 0.0000 0.3739
Se1 Se 0.0000 0.0000 0.1391
Se2 Se 0.0000 0.0000 0.6182
Se3 Se 0.0216 0.5108 0.1275
Se4 Se 0.1858 0.3716 0.9552